1.
A plane-wave DFT calculation with PBE-GGA was carried out for a geometry-optimized CaB6C2 structure.

a b c (Å): 5.7917 4.0937 5.0921
angles (deg): 80.32 90.00 135.02
Element x y z (fractional)
1 Ca 0.0000 0.0000 0.0000
2 B 0.5214 0.3775 0.6394
3 B 0.4786 0.6225 0.3606
4 B 0.1439 0.6225 0.3606
5 B 0.1522 0.0000 0.5000
6 B 0.8478 0.0000 0.5000
7 B 0.8561 0.3775 0.6394
8 C 0.5909 0.1819 0.8813
9 C 0.4091 0.8181 0.1187

Calculated values
Energy ... -58.20 eV per cell
Symmetry ... C2/m (12)

2.
A plane-wave DFT calculation with PBE-GGA was carried out for a geometry-optimized CaBC structure.

a b c (Å): 4.3913 5.0040 8.1367
angles (deg): 90.00 90.00 90.00
Element x y z (fractional)
1 Ca 0.5000 0.0000 0.4879
2 Ca 0.5000 0.5000 0.9879
3 Ca 0.0000 0.0000 0.0769
4 Ca 0.0000 0.5000 0.5769
5 B 0.8098 0.0000 0.7789
6 B 0.1902 0.0000 0.7789
7 B 0.8098 0.5000 0.2789
8 B 0.1902 0.5000 0.2789
9 C 0.5000 0.0000 0.8677
10 C 0.5000 0.5000 0.3677
11 C 0.0000 0.0000 0.6186
12 C 0.0000 0.5000 0.1186

Calculated values
Energy ... -72.74 eV per cell
Symmetry ... Amm2 (38)
Distance to the lowest polymorph of the same formula ... 0.064 eV/atom

3.
A plane-wave DFT calculation with PBE-GGA was carried out for a geometry-optimized CaB2C2 structure.

a b c (Å): 3.7938 3.7938 7.5982
angles (deg): 90.00 90.00 90.00
Element x y z (fractional)
1 Ca 0.0000 0.0000 0.7500
2 Ca 0.0000 0.0000 0.2500
3 B 0.5000 0.7808 0.5000
4 B 0.2192 0.5000 0.0000
5 B 0.5000 0.2192 0.5000
6 B 0.7808 0.5000 0.0000
7 C 0.5000 0.8153 0.0000
8 C 0.8153 0.5000 0.5000
9 C 0.1847 0.5000 0.5000
10 C 0.5000 0.1847 0.0000

Calculated values
Energy ... -69.45 eV per cell
Symmetry ... P4_2/mmc (131)

4.
A plane-wave DFT calculation with PBE-GGA was carried out for a geometry-optimized CaB3C3 structure.

a b c (Å): 6.0245 5.6414 5.6414
angles (deg): 120.00 90.00 90.00
Element x y z (fractional)
1 Ca 0.2500 0.3333 0.6667
2 Ca 0.7500 0.6667 0.3333
3 B 0.7500 0.6849 0.8424
4 B 0.7500 0.1575 0.3151
5 B 0.2500 0.8424 0.1575
6 B 0.7500 0.1576 0.8425
7 B 0.2500 0.8425 0.6849
8 B 0.2500 0.3151 0.1576
9 C 0.7500 0.4332 0.8663
10 C 0.7500 0.4332 0.5668
11 C 0.2500 0.8663 0.4332
12 C 0.7500 0.1337 0.5668
13 C 0.2500 0.5668 0.4332
14 C 0.2500 0.5668 0.1337

Calculated values
Energy ... -83.41 eV per cell
Symmetry ... P6_3/mmc (194)
Distance to the lowest polymorph of the same formula ... 1.133 eV/atom

5.
A plane-wave DFT calculation with PBE-GGA was carried out for a geometry-optimized CaBC structure.

a b c (Å): 2.9668 4.1018 5.1934
angles (deg): 90.00 90.00 90.00
Element x y z (fractional)
1 Ca 0.0000 0.0000 0.0000
2 Ca 0.5000 0.0000 0.5000
3 C 0.0000 0.5000 0.3454
4 C 0.0000 0.5000 0.6546
5 B 0.5000 0.5000 0.1804
6 B 0.5000 0.5000 0.8196

Calculated values
Energy ... -35.88 eV per cell
Symmetry ... Pmmm (47)
Distance to the lowest polymorph of the same formula ... 0.145 eV/atom

6.
A plane-wave DFT calculation with PBE-GGA was carried out for a geometry-optimized CaB2C2 structure.

a b c (Å): 5.3142 5.3129 5.3129
angles (deg): 91.15 119.34 119.34
Element x y z (fractional)
1 Ca 0.0000 0.7500 0.7500
2 Ca 0.0000 0.2500 0.2500
3 B 0.7780 0.6389 0.1389
4 B 0.5000 0.1390 0.3610
5 B 0.5000 0.8610 0.6390
6 B 0.2220 0.3611 0.8611
7 C 0.5000 0.3407 0.1593
8 C 0.1813 0.8406 0.3406
9 C 0.5000 0.6593 0.8407
10 C 0.8187 0.1594 0.6594

Calculated values
Energy ... -70.95 eV per cell
Symmetry ... I4/mcm (140)

7.
A plane-wave DFT calculation with PBE-GGA was carried out for a geometry-optimized CaB3C3 structure.

a b c (Å): 4.7931 4.7931 4.7931
angles (deg): 90.00 90.00 90.00
Element x y z (fractional)
1 Ca 0.5000 0.5000 0.5000
2 Ca 0.0000 0.0000 0.0000
3 B 0.2500 0.0000 0.5000
4 B 0.0000 0.5000 0.2500
5 B 0.5000 0.7500 0.0000
6 B 0.7500 0.0000 0.5000
7 B 0.0000 0.5000 0.7500
8 B 0.5000 0.2500 0.0000
9 C 0.0000 0.2500 0.5000
10 C 0.0000 0.7500 0.5000
11 C 0.5000 0.0000 0.7500
12 C 0.7500 0.5000 0.0000
13 C 0.5000 0.0000 0.2500
14 C 0.2500 0.5000 0.0000

Calculated values
Energy ... -99.27 eV per cell
Symmetry ... Pm-3n (223)
Distance to the lowest polymorph of the same formula ... 0.000 eV/atom

8.
A plane-wave DFT calculation with PBE-GGA was carried out for a geometry-optimized CaBC3 structure.

a b c (Å): 3.6165 3.6165 3.6165
angles (deg): 90.00 90.00 90.00
Element x y z (fractional)
1 Ca 0.5000 0.5000 0.5000
2 B 0.0000 0.0000 0.0000
3 C 0.0000 0.5000 0.0000
4 C 0.0000 0.0000 0.5000
5 C 0.5000 0.0000 0.0000

Calculated values
Energy ... -27.37 eV per cell
Symmetry ... Pm-3m (221)
Distance to the lowest polymorph of the same formula ... 0.000 eV/atom

9.
A plane-wave DFT calculation with PBE-GGA was carried out for a geometry-optimized CaBC structure.

a b c (Å): 4.1051 2.9676 2.9676
angles (deg): 120.00 90.00 90.00
Element x y z (fractional)
1 Ca 0.6667 0.6667 0.3333
2 B 0.1667 0.3333 0.6667
3 C 0.1666 0.0000 0.0000

Calculated values
Energy ... -18.12 eV per cell
Symmetry ... P-6m2 (187)
Distance to the lowest polymorph of the same formula ... 0.086 eV/atom

10.
A plane-wave DFT calculation with PBE-GGA was carried out for a geometry-optimized Ca2B6C3 structure.

a b c (Å): 2.9191 6.4968 6.4968
angles (deg): 120.00 90.00 90.00
Element x y z (fractional)
1 Ca 0.0000 0.6667 0.3333
2 Ca 0.0000 0.3333 0.6667
3 B 0.5000 0.7520 0.7520
4 B 0.5000 0.0000 0.2480
5 B 0.0000 0.1556 0.1556
6 B 0.0000 0.8444 0.0000
7 B 0.5000 0.2480 0.0000
8 B 0.0000 0.0000 0.8444
9 C 0.5000 0.2633 0.2633
10 C 0.5000 0.7367 0.0000
11 C 0.5000 0.0000 0.7367

Calculated values
Energy ... -67.13 eV per cell
Symmetry ... P-62m (189)

11.
A plane-wave DFT calculation with PBE-GGA was carried out for a geometry-optimized Ca9B2C4Cl8 structure.

a b c (Å): 8.9395 8.9395 12.1708
angles (deg): 90.00 90.00 98.42
Element x y z (fractional)
1 Ca 0.8799 0.1201 0.7500
2 Ca 0.1922 0.4342 0.7500
3 Ca 0.6672 0.9705 0.4501
4 Ca 0.4342 0.1922 0.2500
5 Ca 0.3409 0.6591 0.4074
6 Ca 0.3328 0.0295 0.5499
7 Ca 0.0295 0.3328 0.0499
8 Ca 0.3409 0.6591 0.0926
9 Ca 0.8078 0.5658 0.2500
10 Ca 0.6591 0.3409 0.9074
11 Ca 0.6591 0.3409 0.5926
12 Ca 0.1201 0.8799 0.2500
13 Ca 0.3328 0.0295 0.9501
14 Ca 0.9705 0.6672 0.9501
15 Ca 0.0295 0.3328 0.4501
16 Ca 0.9705 0.6672 0.5499
17 Ca 0.5658 0.8078 0.7500
18 Ca 0.6672 0.9705 0.0499
19 B 0.9145 0.4177 0.7500
20 B 0.0855 0.5823 0.2500
21 B 0.4177 0.9145 0.2500
22 B 0.5823 0.0855 0.7500
23 C 0.0635 0.5967 0.3679
24 C 0.9365 0.4033 0.6321
25 C 0.0635 0.5967 0.1321
26 C 0.5967 0.0635 0.6321
27 C 0.4033 0.9365 0.1321
28 C 0.9365 0.4033 0.8679
29 C 0.4033 0.9365 0.3679
30 C 0.5967 0.0635 0.8679
31 Cl 0.8748 0.8012 0.7500
32 Cl 0.4884 0.5116 0.2500
33 Cl 0.8012 0.8748 0.2500
34 Cl 0.2759 0.7241 0.8798
35 Cl 0.7241 0.2759 0.3798
36 Cl 0.1988 0.1252 0.7500
37 Cl 0.3394 0.3394 0.5000
38 Cl 0.6606 0.6606 0.0000
39 Cl 0.3394 0.3394 0.0000
40 Cl 0.2759 0.7241 0.6202
41 Cl 0.0000 0.0000 0.5000
42 Cl 0.6606 0.6606 0.5000
43 Cl 0.7241 0.2759 0.1202
44 Cl 0.1252 0.1988 0.2500
45 Cl 0.5116 0.4884 0.7500
46 Cl 0.0000 0.0000 0.0000

Calculated values
Energy ... -228.90 eV per cell
E_form (uncorrected) ... -1.37 eV per atom
Symmetry ... Cmcm (63)

12.
A plane-wave DFT calculation with PBE-GGA was carried out for a geometry-optimized CsCaB2C structure.

a b c (Å): 4.1017 4.8818 4.1017
angles (deg): 90.00 90.00 90.00
Element x y z (fractional)
1 Cs 0.5000 0.5000 0.5000
2 Ca 0.0000 0.5000 0.0000
3 B 0.0000 0.0000 0.5000
4 B 0.5000 0.0000 0.0000
5 C 0.0000 0.0000 0.0000

Calculated values
Energy ... -16.18 eV per cell
Symmetry ... P4/mmm (123)